Record 1
# HfB2

Crystalline HfB2 at its relaxed geometry (PBE, OQMD).

Unit cell a=10.5885 b=10.5885 c=10.5885 alpha=90.00 beta=90.00 gamma=90.00
With the nearest neighbours (Å) after each atom.
Space group Fd-3m (No. 227, origin choice 2)
Symmetry-distinct sites (fractional):
Hf 0.1250 0.1250 0.1250  4 B 2.29
B 0.0000 0.0000 0.0000  2 Hf 2.29

As for the total moment: 0.27 μB/atom. The calculation puts the uncorrected energy at -121.00 eV/cell. As for the volume: 1187.1 Å³/cell.



Record 2
# HfB2

Crystalline HfB2 at its relaxed geometry (PBE, OQMD).

Unit cell a=6.2514 b=6.2514 c=6.2514 alpha=90.00 beta=90.00 gamma=90.00
With the nearest neighbours (Å) after each atom.
Space group Fd-3m (No. 227, origin choice 2)
Symmetry-distinct sites (fractional):
Hf 0.1250 0.1250 0.1250  12 B 2.59, 4 Hf 2.71
B 0.0000 0.0000 0.5000  6 B 2.21

As for the total moment: 0.00 μB/atom. The calculation puts the uncorrected energy at -181.03 eV/cell. As for the volume: 244.3 Å³/cell.



Record 3
# Hf6B5

Crystalline Hf6B5 at its relaxed geometry (PBE, OQMD).

Unit cell a=5.9271 b=10.3032 c=5.8277 alpha=90.00 beta=109.81 gamma=90.00
With the nearest neighbours (Å) after each atom.
Space group C2/m (No. 12)
Symmetry-distinct sites (fractional):
Hf 0.2460 0.1696 0.2438  5 B 2.40-2.42
Hf 0.2471 0.0000 0.7525  5 B 2.38-2.41
B 0.0000 0.0000 0.0000  6 Hf 2.38-2.41
B 0.0000 0.1663 0.5000  6 Hf 2.41-2.42
B 0.0000 0.3381 0.0000  6 Hf 2.38-2.40

As for the total moment: 0.00 μB/atom. The calculation puts the uncorrected energy at -195.38 eV/cell. As for the volume: 334.8 Å³/cell.



Record 4
# Hf2HgB

Crystalline Hf2HgB at its relaxed geometry (PBE, OQMD).

Unit cell a=6.6558 b=6.6558 c=6.6558 alpha=90.00 beta=90.00 gamma=90.00
With the nearest neighbours (Å) after each atom.
Space group F-43m (No. 216)
Symmetry-distinct sites (fractional):
Hf 0.0000 0.0000 0.0000  4 Hg 2.88, 4 Hf 2.88
Hf 0.2500 0.2500 0.2500  4 Hf 2.88, 4 B 2.88
Hg 0.2500 0.2500 0.7500  4 Hf 2.88, 4 B 2.88
B 0.0000 0.0000 0.5000  4 Hf 2.88, 4 Hg 2.88

As for the total moment: 0.43 μB/atom. The calculation puts the uncorrected energy at -89.87 eV/cell. As for the volume: 294.8 Å³/cell.



Record 5
# HfHgB4

Crystalline HfHgB4 at its relaxed geometry (PBE, OQMD).

Unit cell a=3.1380 b=5.1945 c=7.9704 alpha=90.00 beta=90.00 gamma=90.00
With the nearest neighbours (Å) after each atom.
Space group Immm (No. 71)
Symmetry-distinct sites (fractional):
Hf 0.0000 0.0000 0.0000  12 B 2.60-2.71
Hg 0.0000 0.0000 0.5000  12 B 2.51-2.80
B 0.0000 0.3229 0.2665  3 B 1.76-1.84

Its energy above the most stable polymorph in this dataset is 33 meV per atom. As for the total moment: 0.00 μB/atom. As for the volume: 129.9 Å³/cell.



Record 6
# HfHgB4

Crystalline HfHgB4 at its relaxed geometry (PBE, OQMD).

Unit cell a=3.1322 b=3.1322 c=8.2688 alpha=90.00 beta=90.00 gamma=120.00
With the nearest neighbours (Å) after each atom.
Space group P6/mmm (No. 191)
Symmetry-distinct sites (fractional):
Hf 0.0000 0.0000 0.0000  12 B 2.47
Hg 0.0000 0.0000 0.5000  12 B 3.05, 6 Hg 3.13
B 0.3333 0.6667 0.2027  3 B 1.81

Its energy above the most stable polymorph in this dataset is 0 meV per atom. As for the total moment: 0.00 μB/atom. As for the volume: 70.3 Å³/cell.



Record 7
# HfHgB2

Crystalline HfHgB2 at its relaxed geometry (PBE, OQMD).

Unit cell a=6.2354 b=6.2354 c=6.2354 alpha=90.00 beta=90.00 gamma=90.00
With the nearest neighbours (Å) after each atom.
Space group F-43m (No. 216)
Symmetry-distinct sites (fractional):
Hf 0.0000 0.0000 0.0000  4 B 2.70, 4 Hg 2.70
Hg 0.2500 0.2500 0.2500  4 Hf 2.70, 4 B 2.70
B 0.0000 0.0000 0.5000  4 Hg 2.70, 4 B 2.70
B 0.2500 0.2500 0.7500  4 B 2.70, 4 Hf 2.70

As for the total moment: 0.01 μB/atom. The calculation puts the uncorrected energy at -71.49 eV/cell. As for the volume: 242.4 Å³/cell.



Record 8
# HfNiHgB

Crystalline HfNiHgB at its relaxed geometry (PBE, OQMD).

Unit cell a=6.1470 b=6.1470 c=6.1470 alpha=90.00 beta=90.00 gamma=90.00
With the nearest neighbours (Å) after each atom.
Space group F-43m (No. 216)
Symmetry-distinct sites (fractional):
Hf 0.0000 0.0000 0.0000  4 Ni 2.66, 4 B 2.66
Ni 0.2500 0.2500 0.2500  4 Hg 2.66, 4 Hf 2.66
Hg 0.0000 0.0000 0.5000  4 Ni 2.66, 4 B 2.66
B 0.2500 0.2500 0.7500  4 Hg 2.66, 4 Hf 2.66

Its energy above the most stable polymorph in this dataset is 0 meV per atom. As for the total moment: 0.00 μB/atom. As for the volume: 232.3 Å³/cell.



Record 9
# HfNiHgB

Crystalline HfNiHgB at its relaxed geometry (PBE, OQMD).

Unit cell a=6.2483 b=6.2483 c=6.2483 alpha=90.00 beta=90.00 gamma=90.00
With the nearest neighbours (Å) after each atom.
Space group F-43m (No. 216)
Symmetry-distinct sites (fractional):
Hf 0.0000 0.0000 0.0000  4 Hg 2.71, 4 Ni 2.71
Ni 0.2500 0.2500 0.7500  4 Hf 2.71, 4 B 2.71
Hg 0.2500 0.2500 0.2500  4 Hf 2.71, 4 B 2.71
B 0.0000 0.0000 0.5000  4 Hg 2.71, 4 Ni 2.71

Its energy above the most stable polymorph in this dataset is 344 meV per atom. As for the total moment: 0.00 μB/atom. As for the volume: 243.9 Å³/cell.



Record 10
# HfNiHgB

Crystalline HfNiHgB at its relaxed geometry (PBE, OQMD).

Unit cell a=6.2157 b=6.2157 c=6.2157 alpha=90.00 beta=90.00 gamma=90.00
With the nearest neighbours (Å) after each atom.
Space group F-43m (No. 216)
Symmetry-distinct sites (fractional):
Hf 0.0000 0.0000 0.0000  4 Hg 2.69, 4 B 2.69
Ni 0.0000 0.0000 0.5000  4 B 2.69, 4 Hg 2.69
Hg 0.2500 0.2500 0.7500  4 Hf 2.69, 4 Ni 2.69
B 0.2500 0.2500 0.2500  4 Hf 2.69, 4 Ni 2.69

Its energy above the most stable polymorph in this dataset is 133 meV per atom. As for the total moment: 0.00 μB/atom. As for the volume: 240.1 Å³/cell.



Record 11
# Hf4TlHgB2

Crystalline Hf4TlHgB2 at its relaxed geometry (PBE, OQMD).

Unit cell a=3.4094 b=3.4094 c=15.0758 alpha=90.00 beta=90.00 gamma=120.00
With the nearest neighbours (Å) after each atom.
Space group P-6m2 (No. 187)
Symmetry-distinct sites (fractional):
Hf 0.0000 0.0000 0.1611  3 B 2.36
Hf 0.6667 0.3333 0.3311  3 B 2.34
Tl 0.0000 0.0000 0.5000  6 Hf 3.22, 6 Tl 3.41
Hg 0.6667 0.3333 0.0000  6 Hf 3.13, 6 Hg 3.41
B 0.3333 0.6667 0.2475  6 Hf 2.34-2.36

As for the total moment: 0.00 μB/atom. The calculation puts the uncorrected energy at -58.77 eV/cell. As for the volume: 151.8 Å³/cell.



Record 12
# HfZr3Hg2B2

Crystalline HfZr3Hg2B2 at its relaxed geometry (PBE, OQMD).

Unit cell a=3.4216 b=3.4216 c=15.0941 alpha=90.00 beta=90.00 gamma=120.00
With the nearest neighbours (Å) after each atom.
Space group P3m1 (No. 156)
Symmetry-distinct sites (fractional):
Hf 0.0000 0.0000 0.0000  3 B 2.36
Zr 0.0000 0.0000 0.6763  3 B 2.38
Zr 0.6667 0.3333 0.1732  3 B 2.38
Zr 0.6667 0.3333 0.5004  3 B 2.38
Hg 0.0000 0.0000 0.3369  6 Zr 3.16, 6 Hg 3.42
Hg 0.6667 0.3333 0.8400  3 Hf 3.12, 3 Zr 3.16, 6 Hg 3.42
B 0.3333 0.6667 0.0853  3 Hf 2.36, 3 Zr 2.38
B 0.3333 0.6667 0.5883  6 Zr 2.38

As for the total moment: 0.00 μB/atom. The calculation puts the uncorrected energy at -52.40 eV/cell. As for the volume: 153.0 Å³/cell.



Question: total moment of number 3 (Hf6B5)?
Answer: 0.00 μB/atom



Question: total moment of number 12 (HfZr3Hg2B2)?
Answer: 0.00 μB/atom